Entry 1:
Material: Ba2AlSn3O8
Method: DFT, GGA-PBE
State: optimized geometry

Computed properties:
* DOS at the Fermi energy: 2.19 states/eV/f.u.
* E_tot: -5.960 eV/atom

Unit cell a=4.2636 b=4.2636 c=11.2702 alpha=90.00 beta=90.00 gamma=90.00
Positions (direct):
Ba (0.0000, 0.0000, 0.1795)
Ba (0.0000, 0.0000, 0.8205)
Al (0.0000, 0.0000, 0.5000)
Sn (0.5000, 0.5000, 0.0000)
Sn (0.5000, 0.5000, 0.3739)
Sn (0.5000, 0.5000, 0.6261)
O (0.0000, 0.5000, 0.0000)
O (0.0000, 0.5000, 0.3730)
O (0.0000, 0.5000, 0.6270)
O (0.5000, 0.0000, 0.0000)
O (0.5000, 0.0000, 0.3730)
O (0.5000, 0.0000, 0.6270)
O (0.5000, 0.5000, 0.1866)
O (0.5000, 0.5000, 0.8134)



Entry 2:
Material: Ba3AlSn2O9
Method: DFT, GGA-PBE
State: optimized geometry

Computed properties:
* DOS at the Fermi energy: 10.27 states/eV/f.u.
* E_tot: -6.406 eV/atom

Unit cell a=5.8144 b=5.8144 c=7.1346 alpha=90.00 beta=90.00 gamma=120.00
Positions (direct):
Ba (0.0000, 0.0000, 0.0000)
Ba (0.3333, 0.6667, 0.6647)
Ba (0.6667, 0.3333, 0.3353)
Al (0.0000, 0.0000, 0.5000)
Sn (0.3333, 0.6667, 0.1761)
Sn (0.6667, 0.3333, 0.8239)
O (0.0000, 0.5000, 0.0000)
O (0.1605, 0.3209, 0.3411)
O (0.1605, 0.8395, 0.3411)
O (0.3209, 0.1605, 0.6589)
O (0.5000, 0.0000, 0.0000)
O (0.5000, 0.5000, 0.0000)
O (0.6791, 0.8395, 0.3411)
O (0.8395, 0.1605, 0.6589)
O (0.8395, 0.6791, 0.6589)



Entry 3:
Material: Ba2AlSnO6
Method: DFT, GGA-PBE
State: optimized geometry

Computed properties:
* DOS at the Fermi energy: 7.07 states/eV/f.u.
* E_tot: -6.435 eV/atom

Unit cell a=10.2330 b=10.2330 c=10.2330 alpha=33.23 beta=33.23 gamma=33.23
Positions (direct):
Ba (0.1310, 0.1310, 0.1310)
Ba (0.2844, 0.2844, 0.2844)
Ba (0.7156, 0.7156, 0.7156)
Ba (0.8690, 0.8690, 0.8690)
Al (0.0000, 0.0000, 0.0000)
Al (0.5000, 0.5000, 0.5000)
Sn (0.4070, 0.4070, 0.4070)
Sn (0.5930, 0.5930, 0.5930)
O (0.1586, 0.6086, 0.6086)
O (0.1960, 0.1960, 0.7236)
O (0.1960, 0.7236, 0.1960)
O (0.2764, 0.8040, 0.8040)
O (0.3914, 0.3914, 0.8414)
O (0.3914, 0.8414, 0.3914)
O (0.6086, 0.1586, 0.6086)
O (0.6086, 0.6086, 0.1586)
O (0.7236, 0.1960, 0.1960)
O (0.8040, 0.2764, 0.8040)
O (0.8040, 0.8040, 0.2764)
O (0.8414, 0.3914, 0.3914)



Entry 4:
Material: Ba2Al2SnO6
Method: DFT, GGA-PBE
State: optimized geometry

Computed properties:
* E_tot: -6.376 eV/atom

Unit cell a=7.2172 b=7.2172 c=7.2172 alpha=49.27 beta=49.27 gamma=49.27
Positions (direct):
Ba (0.2042, 0.2042, 0.2042)
Ba (0.7958, 0.7958, 0.7958)
Al (0.4234, 0.4234, 0.4234)
Al (0.5766, 0.5766, 0.5766)
Sn (0.0000, 0.0000, 0.0000)
O (0.2459, 0.7395, 0.7395)
O (0.2605, 0.2605, 0.7541)
O (0.2605, 0.7541, 0.2605)
O (0.7395, 0.2459, 0.7395)
O (0.7395, 0.7395, 0.2459)
O (0.7541, 0.2605, 0.2605)



Entry 5:
Material: BaSr2AlO
Method: DFT, GGA-PBE
State: optimized geometry

Computed properties:
* DOS at the Fermi energy: 5.09 states/eV/f.u.
* E_tot: -3.891 eV/atom

Unit cell a=5.1801 b=5.1801 c=5.5532 alpha=90.00 beta=90.00 gamma=90.00
Positions (direct):
Ba (0.0000, 0.0000, 0.0000)
Sr (0.0000, 0.5000, 0.5000)
Sr (0.5000, 0.0000, 0.5000)
Al (0.5000, 0.5000, 0.0000)
O (0.0000, 0.0000, 0.5000)



Entry 6:
Material: Ba3TaAl2O9
Method: DFT, GGA-PBE
State: optimized geometry

Computed properties:
* DOS at the Fermi energy: 6.37 states/eV/f.u.
* E_tot: -7.452 eV/atom

Unit cell a=5.6599 b=5.6599 c=6.9702 alpha=90.00 beta=90.00 gamma=120.00
Positions (direct):
Ba (0.0000, 0.0000, 0.0000)
Ba (0.3333, 0.6667, 0.6735)
Ba (0.6667, 0.3333, 0.3265)
Ta (0.0000, 0.0000, 0.5000)
Al (0.3333, 0.6667, 0.1631)
Al (0.6667, 0.3333, 0.8369)
O (0.0000, 0.5000, 0.0000)
O (0.1684, 0.3368, 0.3319)
O (0.1684, 0.8316, 0.3319)
O (0.3368, 0.1684, 0.6681)
O (0.5000, 0.0000, 0.0000)
O (0.5000, 0.5000, 0.0000)
O (0.6632, 0.8316, 0.3319)
O (0.8316, 0.1684, 0.6681)
O (0.8316, 0.6632, 0.6681)



Entry 7:
Material: BaTaAlO5
Method: DFT, GGA-PBE
State: optimized geometry

Computed properties:
* DOS at the Fermi energy: 0.00 states/eV/f.u.
* E_tot: -8.282 eV/atom

Unit cell a=5.9183 b=5.9183 c=7.6146 alpha=104.72 beta=104.72 gamma=105.76
Positions (direct):
Ba (0.1687, 0.8313, 0.7500)
Ba (0.8313, 0.1687, 0.2500)
Ta (0.5000, 0.5000, 0.0000)
Ta (0.5000, 0.5000, 0.5000)
Al (0.1895, 0.8105, 0.2500)
Al (0.8105, 0.1895, 0.7500)
O (0.1340, 0.2758, 0.8959)
O (0.2169, 0.6157, 0.3957)
O (0.2758, 0.1340, 0.3959)
O (0.3843, 0.7831, 0.1043)
O (0.4457, 0.5543, 0.7500)
O (0.5543, 0.4457, 0.2500)
O (0.6157, 0.2169, 0.8957)
O (0.7242, 0.8660, 0.6041)
O (0.7831, 0.3843, 0.6043)
O (0.8660, 0.7242, 0.1041)



Entry 8:
Material: BaTaAl2O8
Method: DFT, GGA-PBE
State: optimized geometry

Computed properties:
* DOS at the Fermi energy: 7.15 states/eV/f.u.
* E_tot: -7.365 eV/atom

Unit cell a=5.6195 b=5.6195 c=7.3091 alpha=90.00 beta=90.00 gamma=120.00
Positions (direct):
Ba (0.0000, 0.0000, 0.0000)
Ta (0.0000, 0.0000, 0.5000)
Al (0.3333, 0.6667, 0.7312)
Al (0.6667, 0.3333, 0.2688)
O (0.1613, 0.3225, 0.6648)
O (0.1613, 0.8387, 0.6648)
O (0.3225, 0.1613, 0.3352)
O (0.3333, 0.6667, 0.9769)
O (0.6667, 0.3333, 0.0231)
O (0.6775, 0.8387, 0.6648)
O (0.8387, 0.1613, 0.3352)
O (0.8387, 0.6775, 0.3352)



Entry 9:
Material: Ba6Tb2Al4O15
Method: DFT, GGA-PBE
State: optimized geometry

Computed properties:
* DOS at the Fermi energy: 0.00 states/eV/f.u.
* E_tot: -7.101 eV/atom

Unit cell a=7.9422 b=5.9777 c=18.5721 alpha=90.00 beta=91.58 gamma=90.00
Positions (direct):
Ba (0.0000, 0.1760, 0.2500)
Ba (0.0000, 0.8240, 0.7500)
Ba (0.0015, 0.2557, 0.9172)
Ba (0.0015, 0.7443, 0.4172)
Ba (0.4699, 0.2477, 0.9097)
Ba (0.4699, 0.7523, 0.4097)
Ba (0.5000, 0.2295, 0.2500)
Ba (0.5000, 0.7705, 0.7500)
Ba (0.5301, 0.2477, 0.5903)
Ba (0.5301, 0.7523, 0.0903)
Ba (0.9985, 0.2557, 0.5828)
Ba (0.9985, 0.7443, 0.0828)
Tb (0.2524, 0.2490, 0.0893)
Tb (0.2524, 0.7510, 0.5893)
Tb (0.7476, 0.2490, 0.4107)
Tb (0.7476, 0.7510, 0.9107)
Al (0.2522, 0.2471, 0.4439)
Al (0.2522, 0.7529, 0.9439)
Al (0.2793, 0.2677, 0.7321)
Al (0.2793, 0.7323, 0.2321)
Al (0.7207, 0.2677, 0.7679)
Al (0.7207, 0.7323, 0.2679)
Al (0.7478, 0.2471, 0.0561)
Al (0.7478, 0.7529, 0.5561)
O (0.0399, 0.2550, 0.4078)
O (0.0399, 0.7450, 0.9078)
O (0.1915, 0.1798, 0.8125)
O (0.1915, 0.8202, 0.3125)
O (0.2295, 0.4743, 0.1890)
O (0.2295, 0.5257, 0.6890)
O (0.2552, 0.0485, 0.6664)
O (0.2552, 0.9515, 0.1664)
O (0.2638, 0.0026, 0.9975)
O (0.2638, 0.4816, 0.5051)
O (0.2638, 0.5184, 0.0051)
O (0.2638, 0.9974, 0.4975)
O (0.4427, 0.2623, 0.3936)
O (0.4427, 0.7377, 0.8936)
O (0.5000, 0.2900, 0.7500)
O (0.5000, 0.7100, 0.2500)
O (0.5573, 0.2623, 0.1064)
O (0.5573, 0.7377, 0.6064)
O (0.7362, 0.0026, 0.5025)
O (0.7362, 0.4816, 0.9949)
O (0.7362, 0.5184, 0.4949)
O (0.7362, 0.9974, 0.0025)
O (0.7448, 0.0485, 0.8336)
O (0.7448, 0.9515, 0.3336)
O (0.7705, 0.4743, 0.3110)
O (0.7705, 0.5257, 0.8110)
O (0.8085, 0.1798, 0.6875)
O (0.8085, 0.8202, 0.1875)
O (0.9601, 0.2550, 0.0922)
O (0.9601, 0.7450, 0.5922)



Entry 10:
Material: Ba2AlTcO6
Method: DFT, GGA-PBE
State: optimized geometry

Computed properties:
* DOS at the Fermi energy: 3.35 states/eV/f.u.
* E_tot: -7.163 eV/atom

Unit cell a=9.9786 b=9.9786 c=9.9786 alpha=33.61 beta=33.61 gamma=33.61
Positions (direct):
Ba (0.1299, 0.1299, 0.1299)
Ba (0.2846, 0.2846, 0.2846)
Ba (0.7154, 0.7154, 0.7154)
Ba (0.8701, 0.8701, 0.8701)
Al (0.0000, 0.0000, 0.0000)
Al (0.5000, 0.5000, 0.5000)
Tc (0.4077, 0.4077, 0.4077)
Tc (0.5923, 0.5923, 0.5923)
O (0.1586, 0.6054, 0.6054)
O (0.2018, 0.2018, 0.7121)
O (0.2018, 0.7121, 0.2018)
O (0.2879, 0.7982, 0.7982)
O (0.3946, 0.3946, 0.8414)
O (0.3946, 0.8414, 0.3946)
O (0.6054, 0.1586, 0.6054)
O (0.6054, 0.6054, 0.1586)
O (0.7121, 0.2018, 0.2018)
O (0.7982, 0.2879, 0.7982)
O (0.7982, 0.7982, 0.2879)
O (0.8414, 0.3946, 0.3946)



Entry 11:
Material: BaAlTcO6
Method: DFT, GGA-PBE
State: optimized geometry

Computed properties:
* E_tot: -7.225 eV/atom

Unit cell a=5.1401 b=5.1401 c=5.7439 alpha=90.00 beta=90.00 gamma=120.00
Positions (direct):
Ba (0.0000, 0.0000, 0.0000)
Al (0.3333, 0.6667, 0.5000)
Tc (0.6667, 0.3333, 0.5000)
O (0.4010, 0.0024, 0.6891)
O (0.4010, 0.3986, 0.3109)
O (0.6014, 0.0024, 0.3109)
O (0.6014, 0.5990, 0.6891)
O (0.9976, 0.3986, 0.6891)
O (0.9976, 0.5990, 0.3109)



Entry 12:
Material: Ba3Al2TcO8
Method: DFT, GGA-PBE
State: optimized geometry

Computed properties:
* E_tot: -7.050 eV/atom

Unit cell a=5.7323 b=5.7323 c=7.4385 alpha=90.00 beta=90.00 gamma=120.00
Positions (direct):
Ba (0.0000, 0.0000, 0.0000)
Ba (0.3333, 0.6667, 0.6772)
Ba (0.6667, 0.3333, 0.3228)
Al (0.3333, 0.6667, 0.2393)
Al (0.6667, 0.3333, 0.7607)
Tc (0.0000, 0.0000, 0.5000)
O (0.1661, 0.3323, 0.3350)
O (0.1661, 0.8339, 0.3350)
O (0.3323, 0.1661, 0.6650)
O (0.3333, 0.6667, 0.0094)
O (0.6667, 0.3333, 0.9906)
O (0.6677, 0.8339, 0.3350)
O (0.8339, 0.1661, 0.6650)
O (0.8339, 0.6677, 0.6650)



Question: Among the records above, which one has the lowest E_tot?
Answer: BaTaAlO5